Record 1
A plane-wave DFT calculation with PBEsol was carried out for crystalline HfAl2Tl at its relaxed geometry.

Unit cell a=7.606 b=7.606 c=5.787 alpha=90.00 beta=90.00 gamma=90.00
Space group I-42d (No. 122)
Symmetry-distinct sites (fractional):
Hf  0.000  0.000  0.000 x4
Al  0.237  0.250  0.625 x8
Tl  0.000  0.000  0.500 x4

Output
Calculated formation energy (kJ/mol of formula units): 119
ρ (kg/m³): 8667
Magnetic moment (μB per formula unit): 0.00
Electronic total energy (eV per cell): -80.32

***

Record 2
A plane-wave DFT calculation with PBEsol was carried out for crystalline ScBe2Pd2 at its relaxed geometry.

Unit cell a=6.816 b=6.816 c=2.772 alpha=90.00 beta=90.00 gamma=90.00
Space group P4/mbm (No. 127)
Symmetry-distinct sites (fractional):
Sc  0.000  0.000  0.000 x2
Be  0.114  0.386  0.000 x4
Pd  0.177  0.677  0.500 x4

Output
Calculated formation energy (kJ/mol of formula units): -274
ρ (kg/m³): 7113
Magnetic moment (μB per formula unit): 0.11
Electronic total energy (eV per cell): -58.73

***

Record 3
A plane-wave DFT calculation with PBEsol was carried out for crystalline Sc2Ge2O7 at its relaxed geometry.

Unit cell a=9.612 b=9.612 c=9.612 alpha=90.00 beta=90.00 gamma=90.00
Space group Fd-3m (No. 227, origin choice 2)
Symmetry-distinct sites (fractional):
Sc  0.000  0.000  0.000 x16
Ge  0.000  0.000  0.500 x16
O  0.083  0.375  0.875 x48
O  0.125  0.125  0.125 x8

Output
ΔE_f (raw) (eV per formula unit): -28.58
ρ (kg/m³): 5194
Magnetic moment (μB per formula unit): 0.00
Electronic total energy (eV per cell): -707.33